The following is a PBE calculation of a relaxed PrHg2Pd6 crystal, from Alexandria.

Lattice parameters (Å, degrees): 6.426 6.426 6.426 60.00 60.00 60.00
Atoms (fractional coordinates):
Pr1 0.000 0.000 0.000
Hg1 0.250 0.250 0.250
Hg2 0.750 0.750 0.750
Pd1 0.289 0.289 0.711
Pd2 0.289 0.711 0.289
Pd3 0.289 0.711 0.711
Pd4 0.711 0.289 0.289
Pd5 0.711 0.289 0.711
Pd6 0.711 0.711 0.289

Computed properties:
E above lowest polymorph in meV per atom: 341

The following is a PBE calculation of a relaxed Pr2HgPd9 crystal, from Alexandria.

Lattice parameters (Å, degrees): 4.177 4.177 12.468 90.00 90.00 90.00
Atoms (fractional coordinates):
Pr1 0.000 0.000 0.173
Pr2 0.000 0.000 0.827
Hg1 0.000 0.000 0.500
Pd1 0.000 0.500 0.000
Pd2 0.000 0.500 0.341
Pd3 0.000 0.500 0.659
Pd4 0.500 0.000 0.000
Pd5 0.500 0.000 0.341
Pd6 0.500 0.000 0.659
Pd7 0.500 0.500 0.169
Pd8 0.500 0.500 0.500
Pd9 0.500 0.500 0.831

Computed properties:
E above lowest polymorph in meV per atom: 0

The following is a PBE calculation of a relaxed Pr2HgPd5 crystal, from Alexandria.

Lattice parameters (Å, degrees): 6.184 6.184 8.276 90.00 90.00 90.00
Atoms (fractional coordinates):
Pr1 0.000 0.500 0.000
Pr2 0.000 0.500 0.500
Pr3 0.500 0.000 0.000
Pr4 0.500 0.000 0.500
Hg1 0.000 0.000 0.001
Hg2 0.500 0.500 0.501
Pd1 0.000 0.000 0.500
Pd2 0.250 0.250 0.250
Pd3 0.250 0.250 0.750
Pd4 0.250 0.750 0.250
Pd5 0.250 0.750 0.750
Pd6 0.500 0.500 0.000
Pd7 0.750 0.250 0.250
Pd8 0.750 0.250 0.750
Pd9 0.750 0.750 0.250
Pd10 0.750 0.750 0.750

The following is a PBE calculation of a relaxed PrHg2Pd7 crystal, from Alexandria.

Lattice parameters (Å, degrees): 7.903 7.903 4.535 90.00 90.00 125.17
Atoms (fractional coordinates):
Pr1 0.000 0.000 0.000
Hg1 0.297 0.703 0.500
Hg2 0.703 0.297 0.500
Pd1 0.078 0.288 0.500
Pd2 0.193 0.807 0.000
Pd3 0.288 0.078 0.500
Pd4 0.500 0.500 0.500
Pd5 0.712 0.922 0.500
Pd6 0.807 0.193 0.000
Pd7 0.922 0.712 0.500

The following is a PBE calculation of a relaxed Pr2Hg2Pd15 crystal, from Alexandria.

Lattice parameters (Å, degrees): 7.063 7.063 7.063 82.06 82.06 82.06
Atoms (fractional coordinates):
Pr1 0.153 0.153 0.153
Pr2 0.847 0.847 0.847
Hg1 0.398 0.398 0.398
Hg2 0.602 0.602 0.602
Pd1 0.000 0.500 0.500
Pd2 0.152 0.152 0.661
Pd3 0.152 0.661 0.152
Pd4 0.191 0.500 0.809
Pd5 0.191 0.809 0.500
Pd6 0.339 0.848 0.848
Pd7 0.500 0.000 0.500
Pd8 0.500 0.191 0.809
Pd9 0.500 0.500 0.000
Pd10 0.500 0.809 0.191
Pd11 0.661 0.152 0.152
Pd12 0.809 0.191 0.500
Pd13 0.809 0.500 0.191
Pd14 0.848 0.339 0.848
Pd15 0.848 0.848 0.339

The following is a PBE calculation of a relaxed Pr8Hg2Pd crystal, from Alexandria.

Lattice parameters (Å, degrees): 9.740 9.740 7.114 100.81 100.81 31.61
Atoms (fractional coordinates):
Pr1 0.021 0.021 0.272
Pr2 0.202 0.202 0.817
Pr3 0.345 0.345 0.529
Pr4 0.410 0.410 0.049
Pr5 0.590 0.590 0.951
Pr6 0.655 0.655 0.471
Pr7 0.798 0.798 0.183
Pr8 0.979 0.979 0.728
Hg1 0.189 0.189 0.245
Hg2 0.811 0.811 0.755
Pd1 0.500 0.500 0.500

Computed properties:
E above lowest polymorph in meV per atom: 0

ΔH_f (0 K)
In order: 70 -522 -625 35 -340 -276
Unit: meV per atom